# 1
The following is a PBE calculation of an optimized crystal structure of KPmTcN3, from Alexandria via LeMat-Bulk.

Results
- Space group: C2/m, No. 12

```
KPmTcN3
1.0
3.923 0.000 0.000
-1.961 6.855 -0.005
0.000 -2.047 7.550
K N Pm Tc
2 6 2 2
direct
0.640 0.280 0.071
0.360 0.720 0.929
0.157 0.314 0.374
0.843 0.686 0.626
0.133 0.265 0.791
0.510 0.021 0.327
0.490 0.979 0.673
0.867 0.735 0.209
0.661 0.323 0.581
0.339 0.677 0.419
0.997 0.994 0.672
0.003 0.006 0.328
```



# 2
The following is a PBE calculation of an optimized crystal structure of KPmVN3, from Alexandria via LeMat-Bulk.

Results
- Space group: C2/m, No. 12

```
KPmVN3
1.0
3.846 0.000 0.000
-1.923 6.766 -0.040
0.000 -2.066 7.635
Pm K N V
2 2 6 2
direct
0.658 0.316 0.583
0.342 0.684 0.417
0.642 0.284 0.066
0.358 0.716 0.934
0.510 0.020 0.321
0.868 0.736 0.218
0.132 0.264 0.782
0.490 0.980 0.679
0.844 0.688 0.632
0.156 0.312 0.368
0.006 0.012 0.313
0.994 0.988 0.687
```



# 3
The following is a PBE calculation of an optimized crystal structure of KPm2W2N6, from Alexandria via LeMat-Bulk.

Results
- Space group: P-1, No. 2

```
KPm2W2N6
1.0
-0.634 -3.065 -5.818
-4.764 -4.362 -0.369
-0.831 5.855 -3.496
N Pm K W
6 2 1 2
direct
0.174 0.864 0.593
0.918 0.462 0.199
0.587 0.279 0.050
0.413 0.721 0.950
0.082 0.538 0.801
0.826 0.136 0.407
0.174 0.633 0.210
0.826 0.367 0.790
0.500 0.000 0.500
0.818 0.234 0.189
0.182 0.766 0.811
```



# 4
The following is a PBE calculation of an optimized crystal structure of KPmWN3, from Alexandria via LeMat-Bulk.

Results
- Space group: C2/m, No. 12

```
KPmWN3
1.0
-1.924 -0.459 3.404
6.941 0.647 1.734
-2.637 7.531 -0.475
N W K Pm
6 2 2 2
direct
0.512 0.025 0.343
0.488 0.975 0.657
0.157 0.313 0.357
0.843 0.687 0.643
0.867 0.735 0.213
0.133 0.265 0.787
0.992 0.984 0.675
0.008 0.016 0.325
0.355 0.710 0.932
0.645 0.290 0.068
0.664 0.327 0.595
0.336 0.673 0.405
```



# 5
The following is a PBE calculation of an optimized crystal structure of KPr2N, from Alexandria via LeMat-Bulk.

Results
- Space group: R-3m, No. 166

```
KPr2N
1.0
3.710 0.000 0.000
1.855 3.213 0.000
1.855 1.071 10.837
K Pr N
1 2 1
direct
0.000 0.000 0.000
0.875 0.875 0.374
0.125 0.125 0.626
0.500 0.500 0.500
```



# 6
The following is a PBE calculation of an optimized crystal structure of KPr2ReN4, from Alexandria via LeMat-Bulk.

Results
- Space group: Cmcm, No. 63

```
KPr2ReN4
1.0
3.532 0.000 0.000
-1.766 6.605 0.000
0.000 0.000 12.525
Pr K N Re
4 2 8 2
direct
0.373 0.746 0.963
0.627 0.254 0.463
0.373 0.746 0.537
0.627 0.254 0.037
0.072 0.145 0.750
0.928 0.855 0.250
0.257 0.515 0.381
0.000 0.000 0.500
0.379 0.758 0.750
0.257 0.515 0.119
0.743 0.485 0.881
0.000 0.000 0.000
0.743 0.485 0.619
0.621 0.242 0.250
0.808 0.615 0.750
0.192 0.385 0.250
```



For each record above, in turn, the calculated raw formation energy values are -0.4271, -0.5571, -0.5880, -0.5886, -0.4792, -0.6787 eV per atom.